A relaxed structure of CeDyGa2, computed with PBE-GGA.

POSCAR file:
```
CeDyGa2
1.0
4.0966 0.0000 0.0000
0.0000 2.1864 5.5007
0.0000 -2.1864 5.5007
Ce Dy Ga
1 1 2
Direct
0.0000 0.0000 0.0000 Ce
0.5000 0.7182 0.7182 Dy
0.0000 0.2821 0.2821 Ga
0.5000 0.4300 0.4300 Ga
```

Computed properties:
**Total moment**: 0.238 μB per atom
**Uncorrected energy**: -4.69 eV per atom
**Formation energy from the elements**: -539 meV/atom
**N(E_F)**: 6.4 states/eV/f.u.

***

A relaxed structure of As2P, computed with PBE-GGA.

POSCAR file:
```
As2P
1.0
7.0284 -1.7731 0.0000
7.0284 1.7731 0.0000
-2.1246 0.0000 5.9135
As P
4 2
Direct
0.0000 0.0000 0.0000 As
0.1847 0.1847 0.6334 As
0.2516 0.2516 0.0626 As
0.5530 0.5530 0.5293 As
0.4352 0.4352 0.7352 P
0.8707 0.8707 0.1752 P
```

Computed properties:
**Total moment**: 0.000 μB per atom
**Uncorrected energy**: -4.77 eV per atom
**Formation energy from the elements**: 131 meV/atom
**N(E_F)**: 0.4 states/eV/f.u.

***

A relaxed structure of ZnNiPt, computed with PBE-GGA.

POSCAR file:
```
ZnNiPt
1.0
2.2960 -4.0247 0.0000
2.2960 4.0247 0.0000
-1.2520 0.0000 4.3726
Zn Ni Pt
2 2 2
Direct
0.1704 0.8296 0.0000 Zn
0.8296 0.1704 0.0000 Zn
0.3329 0.6671 0.5000 Ni
0.6671 0.3329 0.5000 Ni
0.0000 0.0000 0.5000 Pt
0.5000 0.5000 0.0000 Pt
```

Computed properties:
**Total moment**: 0.075 μB per atom
**Uncorrected energy**: -4.67 eV per atom
**Formation energy from the elements**: -302 meV/atom
**N(E_F)**: 2.7 states/eV/f.u.

***

A relaxed structure of Na3UMn2Te6, computed with PBE-GGA.

POSCAR file:
```
Na3UMn2Te6
1.0
3.6769 -6.3451 0.0000
3.6769 6.3451 0.0000
-2.4490 0.0000 7.5578
Na U Mn Te
3 1 2 6
Direct
0.0000 0.0000 0.0000 Na
0.3381 0.6619 0.0000 Na
0.6619 0.3381 0.0000 Na
0.5000 0.5000 0.5000 U
0.1679 0.8321 0.5000 Mn
0.8321 0.1679 0.5000 Mn
0.0855 0.4276 0.2799 Te
0.2294 0.2294 0.7167 Te
0.4276 0.0855 0.2799 Te
0.5724 0.9145 0.7201 Te
0.7706 0.7706 0.2833 Te
0.9145 0.5724 0.7201 Te
```

Computed properties:
**Total moment**: 0.738 μB per atom
**E_form (uncorrected)**: -571 meV per atom
**Uncorrected energy**: -4.94 eV per atom
**N(E_F)**: 4.4 states/eV/f.u.

***

A relaxed structure of Zr4Bi2Te5, computed with PBE-GGA.

POSCAR file:
```
Zr4Bi2Te5
1.0
11.3145 -1.9296 0.0000
11.3145 1.9296 0.0000
-1.5323 0.0000 8.6327
Zr Bi Te
4 2 5
Direct
0.0002 0.0002 0.2431 Zr
0.9998 0.9998 0.7569 Zr
0.4256 0.4256 0.4669 Zr
0.5744 0.5744 0.5331 Zr
0.2718 0.2718 0.3770 Bi
0.7282 0.7282 0.6230 Bi
0.1257 0.1257 0.3359 Te
0.1263 0.1263 0.7798 Te
0.5000 0.5000 0.0000 Te
0.8737 0.8737 0.2202 Te
0.8743 0.8743 0.6641 Te
```

Computed properties:
**Total moment**: 0.000 μB per atom
**E_form (uncorrected)**: -481 meV per atom
**Uncorrected energy**: -5.72 eV per atom
**N(E_F)**: 5.9 states/eV/f.u.

***

A relaxed structure of CaGa2Ag9, computed with PBE-GGA.

POSCAR file:
```
CaGa2Ag9
1.0
-5.6835 5.6835 3.6183
5.6835 -5.6835 3.6183
5.6835 5.6835 -3.6183
Ca Ga Ag
2 4 18
Direct
0.3750 0.6250 0.7500 Ca
0.6250 0.3750 0.2500 Ca
0.0000 0.0000 0.0000 Ga
0.0000 0.0000 0.5000 Ga
0.0000 0.5000 0.0000 Ga
0.5000 0.0000 0.5000 Ga
0.1250 0.8750 0.2500 Ag
0.1327 0.5597 0.3298 Ag
0.1327 0.8029 0.5729 Ag
0.1971 0.2700 0.3298 Ag
0.1971 0.8673 0.9271 Ag
0.2700 0.1971 0.8298 Ag
0.2700 0.4403 0.0729 Ag
0.4403 0.2700 0.5729 Ag
0.4403 0.8673 0.1702 Ag
0.5597 0.1327 0.8298 Ag
0.5597 0.7300 0.4271 Ag
0.7300 0.5597 0.9271 Ag
0.7300 0.8029 0.1702 Ag
0.8029 0.1327 0.0729 Ag
0.8029 0.7300 0.6702 Ag
0.8673 0.1971 0.4271 Ag
0.8673 0.4403 0.6702 Ag
0.8750 0.1250 0.7500 Ag
```

Computed properties:
**Total moment**: 0.000 μB per atom
**Uncorrected energy**: -2.90 eV per atom
**Formation energy from the elements**: -86 meV/atom
**N(E_F)**: 4.2 states/eV/f.u.

***

A relaxed structure of YCd2, computed with PBE-GGA.

POSCAR file:
```
YCd2
1.0
5.3092 0.0000 0.0000
0.0000 5.3092 0.0000
0.0000 0.0000 3.4600
Y Cd
1 2
Direct
0.0000 0.0000 0.0000 Y
0.0000 0.5000 0.5000 Cd
0.5000 0.0000 0.5000 Cd
```

Computed properties:
**Total moment**: 0.000 μB per atom
**Uncorrected energy**: -2.72 eV per atom
**Formation energy from the elements**: 43 meV/atom
**N(E_F)**: 2.5 states/eV/f.u.

***

A relaxed structure of PrY2Er3Bi6, computed with PBE-GGA.

POSCAR file:
```
PrY2Er3Bi6
1.0
9.7881 -2.2470 0.0000
9.7881 2.2470 0.0000
-2.0514 0.0000 8.7480
Pr Y Er Bi
1 2 3 6
Direct
0.0000 0.0000 0.0000 Pr
0.3325 0.3325 0.6666 Y
0.6675 0.6675 0.3334 Y
0.0000 0.0000 0.5000 Er
0.3347 0.3347 0.1682 Er
0.6653 0.6653 0.8318 Er
0.1659 0.1659 0.5842 Bi
0.1703 0.1703 0.0828 Bi
0.5002 0.5002 0.2590 Bi
0.4998 0.4998 0.7410 Bi
0.8297 0.8297 0.9172 Bi
0.8341 0.8341 0.4158 Bi
```

Computed properties:
**Total moment**: 0.000 μB per atom
**Uncorrected energy**: -5.42 eV per atom
**Formation energy from the elements**: -861 meV/atom
**N(E_F)**: 2.0 states/eV/f.u.

***

Question: Which value of uncorrected energy does entry 2 give?
Answer: -4.77 eV per atom

***

Question: What is the uncorrected energy in the fourth record?
Answer: -4.94 eV per atom